# GaMo2 | the Alexandria database | GGA-PBE | relaxed
# DOS at the Fermi energy: 7.8 states/eV per cell
# Energy above the lowest structure with this stoichiometry: 0.13 eV per formula unit
# Energy: -8.272 eV per atom
# Size of the total moment: 0.00 μB per formula unit
data_GaMo2
_space_group_name_H-M_alt 'C 1 2/m 1'
_space_group_IT_number 12
_cell_length_a 8.9919
_cell_length_b 4.5687
_cell_length_c 5.4568
_cell_angle_alpha 90.00
_cell_angle_beta 123.57
_cell_angle_gamma 90.00
loop_
_space_group_symop_operation_xyz
'x,y,z'
'-x,-y,-z'
'-x,y,-z'
'x,-y,z'
'x+1/2,y+1/2,z'
'-x+1/2,-y+1/2,-z'
'-x+1/2,y+1/2,-z'
'x+1/2,-y+1/2,z'
loop_
_atom_site_label
_atom_site_fract_x
_atom_site_fract_y
_atom_site_fract_z
Ga1 0.1670 0.0000 0.2502
Mo1 0.0114 0.5000 0.7571
Mo2 0.1620 0.0000 0.7457

# TaNiP | the Alexandria database | GGA-PBE | relaxed
# DOS at the Fermi energy: 10.6 states/eV per cell
# Energy: -7.973 eV per atom
# Size of the total moment: 0.00 μB per formula unit
data_TaNiP
_space_group_name_H-M_alt 'F -4 3 m'
_space_group_IT_number 216
_space_group_name_Hall 'F -4 2 3'
_cell_length_a 5.6418
_cell_length_b 5.6418
_cell_length_c 5.6418
_cell_angle_alpha 90.00
_cell_angle_beta 90.00
_cell_angle_gamma 90.00
loop_
_atom_site_label
_atom_site_fract_x
_atom_site_fract_y
_atom_site_fract_z
Ta1 0.0000 0.0000 0.0000
Ni1 0.0000 0.0000 0.5000
P1 0.2500 0.2500 0.7500